This record from the Alexandria database describes a relaxed TbSmGe crystal. The functional is PBE-GGA.

```
TbSmGe
1.0
-2.266 -3.459 0.940
3.752 -2.729 -0.999
-0.646 1.622 4.413
Tb Ge Sm
1 1 1
direct
0.096 0.000 0.000
0.280 0.333 0.667
0.625 0.667 0.333
```

Space-group type   P3m1, No. 156
Energy above the lowest structure with this stoichiometry   188.4 meV/atom
E_form   -37.59 kJ/mol of atoms

This record from the Alexandria database describes a relaxed Tb2SmGe crystal. The functional is PBE-GGA.

```
Tb2SmGe
1.0
-4.588 0.927 -0.396
-0.496 -3.691 -2.891
-0.881 -2.782 3.702
Tb Sm Ge
2 1 1
direct
0.000 0.500 0.000
0.000 0.000 0.500
0.500 0.000 0.000
0.500 0.500 0.500
```

Space-group type   P4/mmm, No. 123
Energy above the lowest structure with this stoichiometry   0.0 meV/atom
E_form   -32.22 kJ/mol of atoms

This record from the Alexandria database describes a relaxed Tb3Sm2Ge4 crystal. The functional is PBE-GGA.

```
Tb3Sm2Ge4
1.0
-1.888 -7.354 1.202
7.297 0.723 -3.246
3.169 0.364 7.203
Ge Tb Sm
8 6 4
direct
0.173 0.912 0.464
0.128 0.508 0.870
0.327 0.088 0.964
0.872 0.492 0.130
0.372 0.492 0.370
0.827 0.088 0.536
0.628 0.508 0.630
0.673 0.912 0.036
0.771 0.763 0.336
0.500 0.500 0.000
0.729 0.237 0.836
0.000 0.500 0.500
0.229 0.237 0.664
0.271 0.763 0.164
0.936 0.801 0.819
0.436 0.801 0.681
0.564 0.199 0.319
0.064 0.199 0.181
```

Space-group type   P2_1/c, No. 14
E_form   -83.62 kJ/mol of atoms

This record from the Alexandria database describes a relaxed Tb2Sm5Ge4 crystal. The functional is PBE-GGA.

```
Tb2Sm5Ge4
1.0
3.816 0.000 0.000
0.000 8.207 0.650
-1.908 -1.983 10.452
Sm Ge Tb
5 4 2
direct
0.500 0.000 0.000
0.900 0.569 0.799
0.839 0.028 0.677
0.161 0.972 0.323
0.100 0.431 0.201
0.973 0.265 0.946
0.604 0.716 0.209
0.027 0.735 0.054
0.396 0.284 0.791
0.735 0.667 0.471
0.265 0.333 0.529
```

Space-group type   C2/m, No. 12
E_form   -27.11 kJ/mol of atoms

This record from the Alexandria database describes a relaxed TbSmGeTe crystal. The functional is PBE-GGA.

```
TbSmGeTe
1.0
4.274 0.000 0.000
-2.136 3.702 0.000
-2.136 -1.234 7.357
Tb Sm Te Ge
1 1 1 1
direct
0.492 0.144 0.650
0.113 0.955 0.083
0.970 0.383 0.369
0.303 0.549 0.868
```

Raw formation energy   -1.132 eV/atom
Space-group type   R3m, No. 160

This record from the Alexandria database describes a relaxed Tb2SmZn2Ge2 crystal. The functional is PBE-GGA.

```
Tb2SmZn2Ge2
1.0
-2.159 1.934 -2.976
-3.688 1.697 0.879
3.109 10.856 1.902
Sm Tb Zn Ge
1 2 2 2
direct
0.000 0.000 0.000
0.124 0.124 0.629
0.876 0.876 0.371
0.392 0.392 0.824
0.608 0.608 0.176
0.734 0.734 0.797
0.266 0.266 0.203
```

Space-group type   R-3m, No. 166
E_form   -44.98 kJ/mol of atoms

This record from the Alexandria database describes a relaxed SmTcGe crystal. The functional is PBE-GGA.

```
SmTcGe
1.0
-0.025 4.308 0.240
-1.395 0.220 -4.078
-6.484 -0.159 2.209
Ge Sm Tc
2 2 2
direct
0.314 0.367 0.716
0.814 0.866 0.123
0.814 0.867 0.605
0.313 0.366 0.234
0.814 0.366 0.920
0.314 0.866 0.920
```

Space-group type   P4/nmm, No. 129
Energy above the lowest structure with this stoichiometry   0.0 meV/atom
E_form   -45.08 kJ/mol of atoms

This record from the Alexandria database describes a relaxed SmTcGe3 crystal. The functional is PBE-GGA.

```
SmTcGe3
1.0
-5.680 1.771 -0.798
-1.928 -4.648 3.413
1.301 5.348 2.602
Ge Sm Tc
6 2 2
direct
0.250 0.808 0.195
0.750 0.613 0.805
0.750 0.192 0.805
0.250 0.807 0.614
0.750 0.193 0.386
0.250 0.387 0.195
0.750 0.666 0.331
0.250 0.334 0.669
0.500 0.000 0.000
0.000 0.000 0.000
```

Space-group type   Cmcm, No. 63
E_form   -40.43 kJ/mol of atoms

This record from the Alexandria database describes a relaxed Sm2TcGe4 crystal. The functional is PBE-GGA.

```
Sm2TcGe4
1.0
6.127 -0.086 0.000
-0.181 6.125 0.000
-2.973 -3.020 4.236
Ge Sm Tc
4 2 1
direct
0.289 0.289 0.578
0.289 0.289 0.000
0.711 0.711 0.000
0.711 0.711 0.422
0.750 0.250 0.500
0.250 0.750 0.500
0.000 0.000 0.000
```

Space-group type   I4/mmm, No. 139
E_form   -33.91 kJ/mol of atoms

This record from the Alexandria database describes a relaxed SmTc4Ge4 crystal. The functional is PBE-GGA.

```
SmTc4Ge4
1.0
4.767 0.000 0.000
0.000 8.312 0.000
0.000 0.000 8.312
Sm Ge Tc
2 8 8
direct
0.500 0.500 0.500
0.000 0.000 0.000
0.569 0.149 0.711
0.431 0.711 0.851
0.931 0.351 0.789
0.931 0.649 0.211
0.569 0.851 0.289
0.069 0.789 0.649
0.431 0.289 0.149
0.069 0.211 0.351
0.078 0.111 0.626
0.578 0.874 0.611
0.922 0.374 0.111
0.922 0.626 0.889
0.078 0.889 0.374
0.578 0.126 0.389
0.422 0.389 0.874
0.422 0.611 0.126
```

Space-group type   P4_2/n, No. 86
E_form   -15.93 kJ/mol of atoms

This record from the Alexandria database describes a relaxed SmTc4Ge12 crystal. The functional is PBE-GGA.

```
SmTc4Ge12
1.0
7.622 0.000 0.000
-2.541 7.186 0.000
-2.541 -3.593 6.224
Sm Ge Tc
1 12 4
direct
0.000 0.000 0.000
0.497 0.158 0.339
0.661 0.818 0.158
0.818 0.158 0.661
0.158 0.339 0.497
0.339 0.497 0.158
0.158 0.661 0.818
0.339 0.182 0.842
0.182 0.842 0.339
0.842 0.661 0.503
0.503 0.842 0.661
0.661 0.503 0.842
0.842 0.339 0.182
0.500 0.500 0.500
0.000 0.000 0.500
0.000 0.500 0.000
0.500 0.000 0.000
```

Space-group type   Im-3, No. 204
E_form   16.47 kJ/mol of atoms

This record from the Alexandria database describes a relaxed SmTcGe crystal. The functional is PBE-GGA.

```
SmTcGe
1.0
-1.823 3.396 -0.404
-0.078 -0.554 -4.308
-3.280 -1.470 2.439
Sm Tc Ge
1 1 1
direct
0.667 0.667 0.333
0.167 0.333 0.667
0.167 0.000 0.000
```

Space-group type   P-6m2, No. 187
Energy above the lowest structure with this stoichiometry   167.7 meV/atom
E_form   -28.90 kJ/mol of atoms